(1)
VASP calculation (GGA-PBE) on a relaxed MgCuNiTe3 crystal.

```
MgCuNiTe3
1.0
7.426 0.000 0.000
0.000 3.955 0.000
-2.811 0.000 9.913
Cu Mg Ni Te
2 2 2 6
Cartesian
1.875 0.989 4.106
2.740 2.966 5.807
0.923 2.966 2.037
3.692 0.989 7.876
6.959 0.989 0.742
-2.344 2.966 9.171
5.484 2.966 0.132
3.423 2.966 3.286
-0.661 0.989 3.320
5.276 2.966 6.593
1.192 0.989 6.627
-0.869 0.989 9.781
```

Results
calculated total energy	-3.657	eV per atom
M_tot	0.05	μB/f.u.
mass density	6.0	g/cm³



(2)
VASP calculation (GGA-PBE) on a relaxed TbTmGe2Pd crystal.

```
TbTmGe2Pd
1.0
-1.084 4.141 3.816
-3.429 0.595 4.557
8.574 -5.320 1.677
Ge Pd Tb Tm
4 2 2 2
Cartesian
-2.257 2.632 5.446
0.897 0.461 5.041
3.165 -1.045 5.010
6.319 -3.216 4.605
-0.034 0.557 2.557
4.096 -1.142 7.494
-0.314 1.776 7.497
4.375 -2.360 2.554
-3.019 3.796 8.604
7.080 -4.380 1.447
```

Results
calculated total energy	-5.627	eV per atom
M_tot	0.28	μB/f.u.
mass density	9.2	g/cm³



(3)
VASP calculation (GGA-PBE) on a relaxed LiBeAsPd crystal.

```
LiBeAsPd
1.0
0.000 2.981 2.981
2.981 0.000 2.981
2.981 2.981 0.000
As Be Li Pd
1 1 1 1
Cartesian
2.981 2.981 2.981
0.000 0.000 0.000
4.471 4.471 4.471
1.490 1.490 1.490
```

Results
mass density	6.2	g/cm³
energy relative to the lowest polymorph listed for this composition	0.14	kJ per mole of atoms



(4)
VASP calculation (GGA-PBE) on a relaxed LaNi2Au2 crystal.

```
LaNi2Au2
1.0
-3.258 2.267 -1.423
-2.582 -2.071 2.611
1.798 7.369 7.625
Au La Ni
4 2 4
Cartesian
-1.389 2.116 0.305
0.899 3.685 3.812
-2.021 3.782 4.406
0.268 5.351 7.913
-0.851 0.767 3.170
-0.270 6.700 5.048
0.000 0.000 0.000
-2.920 0.098 0.594
-0.983 3.779 2.026
-0.138 3.688 6.193
```

Results
formation enthalpy at 0 K	-1.68	eV/f.u.
M_tot	0.02	μB/f.u.
mass density	11.3	g/cm³



(5)
VASP calculation (GGA-PBE) on a relaxed BeInReMo crystal.

```
BeInReMo
1.0
0.000 3.123 3.123
3.123 0.000 3.123
3.123 3.123 0.000
Be In Mo Re
1 1 1 1
Cartesian
4.685 4.685 4.685
3.123 3.123 3.123
0.000 0.000 0.000
1.562 1.562 1.562
```

Results
M_tot	0.00	μB/f.u.
mass density	11.1	g/cm³
energy relative to the lowest polymorph listed for this composition	0.00	kJ per mole of atoms



(6)
VASP calculation (GGA-PBE) on a relaxed Cu crystal.

```
Cu
1.0
4.018 -1.773 0.000
4.018 1.773 0.000
-0.194 0.000 28.313
Cu
22
Cartesian
1.189 0.000 5.609
6.806 0.000 6.321
4.374 0.000 7.117
1.981 0.000 7.979
7.595 0.000 8.807
5.168 0.000 9.620
2.746 0.000 10.448
0.332 0.000 11.280
5.947 0.000 12.097
3.530 0.000 12.919
1.111 0.000 13.750
6.730 0.000 14.564
4.312 0.000 15.395
1.895 0.000 16.216
7.510 0.000 17.034
5.095 0.000 17.866
2.674 0.000 18.693
0.247 0.000 19.507
5.860 0.000 20.334
3.467 0.000 21.197
1.036 0.000 21.993
6.653 0.000 22.704
```

Results
formation enthalpy at 0 K	0.13	eV/f.u.
mass density	5.8	g/cm³
energy relative to the lowest polymorph listed for this composition	12.77	kJ per mole of atoms



(7)
VASP calculation (GGA-PBE) on a relaxed Tb2NdCd3Au3 crystal.

```
Tb2NdCd3Au3
1.0
-1.123 -3.684 0.906
6.806 -1.150 3.760
-6.227 2.848 3.859
Au Cd Nd Tb
3 3 1 2
Cartesian
0.001 0.004 0.017
1.935 -1.673 4.233
-2.481 -0.318 4.267
4.464 -2.688 3.243
-0.412 -1.402 2.428
-5.158 0.264 3.316
0.345 1.012 4.538
2.751 -0.465 1.521
-2.517 1.152 1.561
```

Results
formation enthalpy at 0 K	-5.96	eV/f.u.
M_tot	0.01	μB/f.u.
mass density	10.9	g/cm³



(8)
VASP calculation (GGA-PBE) on a relaxed Ac2ZnAg3 crystal.

```
Ac2ZnAg3
1.0
-2.841 1.795 2.274
2.678 -0.701 3.900
3.705 7.401 -1.214
Ac Ag Zn
2 3 1
Cartesian
0.435 4.605 0.529
3.620 7.941 1.874
0.654 1.306 -0.214
3.767 4.501 1.154
3.102 6.197 -1.016
2.565 2.098 1.548
```

Results
formation enthalpy at 0 K	-1.99	eV/f.u.
M_tot	0.00	μB/f.u.
mass density	8.6	g/cm³



(9)
VASP calculation (GGA-PBE) on a relaxed NbCoSbMo crystal.

```
NbCoSbMo
1.0
0.000 3.187 3.187
3.187 0.000 3.187
3.187 3.187 0.000
Co Mo Nb Sb
1 1 1 1
Cartesian
4.780 4.780 4.780
1.594 1.594 1.594
3.187 3.187 3.187
0.000 0.000 0.000
```

Results
M_tot	0.99	μB/f.u.
mass density	9.5	g/cm³
energy relative to the lowest polymorph listed for this composition	0.00	kJ per mole of atoms



(10)
VASP calculation (GGA-PBE) on a relaxed SrHfNO crystal.

```
SrHfNO
1.0
4.538 0.000 0.000
0.000 4.538 0.000
0.000 0.000 6.344
Hf N O Sr
2 2 2 2
Cartesian
3.403 3.403 0.274
1.134 1.134 6.070
3.403 3.403 2.185
1.134 1.134 4.160
3.403 1.134 0.000
1.134 3.403 0.000
3.403 1.134 3.172
1.134 3.403 3.172
```

Results
M_tot	0.25	μB/f.u.
mass density	7.5	g/cm³
energy relative to the lowest polymorph listed for this composition	31.46	kJ per mole of atoms



(11)
VASP calculation (GGA-PBE) on a relaxed ErTmZnIr2 crystal.

```
ErTmZnIr2
1.0
3.208 -3.693 2.368
-3.873 -2.793 2.597
1.148 1.078 -5.202
Er Ir Tm Zn
1 2 1 1
Cartesian
2.043 -2.628 -0.406
0.666 -3.841 1.833
-0.182 -1.566 -2.071
-1.559 -2.780 0.169
0.000 -0.002 0.002
```

Results
formation enthalpy at 0 K	-4.16	eV/f.u.
M_tot	0.00	μB/f.u.
mass density	13.2	g/cm³